# Dy2ScAg3 PBE optimized geometry
data_Dy2ScAg3
_symmetry_space_group_name_H-M 'P 4/m m m'
_symmetry_Int_Tables_number 123
_symmetry_space_group_name_Hall '-P 4 2'
_cell_length_a 3.547
_cell_length_b 3.547
_cell_length_c 10.835
_cell_angle_alpha 90.00
_cell_angle_beta 90.00
_cell_angle_gamma 90.00
loop_
_atom_site_label
_atom_site_fract_x
_atom_site_fract_y
_atom_site_fract_z
Dy1 0.000 0.000 0.173
Sc1 0.000 0.000 0.500
Ag1 0.500 0.500 0.000
Ag2 0.500 0.500 0.350
# Total DFT energy (no corrections) = -25.89 eV for the cell shown
# Formation energy = -0.300 eV per atom